Version w
First-principles (PBE) data for a relaxed structure of BaTl2RhPb, as listed in the Alexandria database.

Values from the calculation:
The value obtained for the mass density is 9.161 Mg/m³. As for the density of states at the Fermi level: 5.640 states/eV/cell. As for the space group: P4/mmm, No. 123.

Structure (POSCAR):
```
BaTl2RhPb
1.0
-3.6520 -3.0813 -2.3992
3.5910 -1.3587 -3.7210
1.5583 -4.2168 3.0436
Pb Tl Ba Rh
1 2 1 1
direct
0.0000 0.0000 0.5000
0.5000 0.0000 0.0000
0.0000 0.5000 0.0000
0.5000 0.5000 0.5000
0.0000 0.0000 0.0000
```

Version x
First-principles (PBE) data for a relaxed structure of BaTl2RhPb, as listed in the Alexandria database.

Values from the calculation:
The value obtained for the mass density is 8.607 Mg/m³. As for the density of states at the Fermi level: 5.034 states/eV/cell. As for the space group: P4/mmm, No. 123.

Structure (POSCAR):
```
BaTl2RhPb
1.0
5.3370 0.0000 0.0000
0.0000 5.3370 0.0000
0.0000 0.0000 5.7992
Rh Tl Pb Ba
1 2 1 1
direct
0.0000 0.0000 0.0000
0.0000 0.5000 0.0000
0.5000 0.0000 0.0000
0.5000 0.5000 0.5000
0.0000 0.0000 0.5000
```

Which one sits at the top of the stability order? version w does.

Version w
First-principles (PBE) data for a relaxed structure of BaPb3S, as listed in the Alexandria database.

Values from the calculation:
The value obtained for the mass density is 7.334 Mg/m³. As for the density of states at the Fermi level: 3.025 states/eV/cell. As for the space group: Pm-3m, No. 221.

Structure (POSCAR):
```
BaPb3S
1.0
-4.4592 3.4206 -0.4323
-1.6106 -1.4416 5.2057
3.0486 4.2418 2.1179
S Pb Ba
1 3 1
direct
0.0000 0.0000 0.0000
0.0000 0.5000 0.0000
0.0000 0.0000 0.5000
0.5000 0.0000 0.0000
0.5000 0.5000 0.5000
```

Version x
First-principles (PBE) data for a relaxed structure of BaPb3S, as listed in the Alexandria database.

Values from the calculation:
The value obtained for the mass density is 5.114 Mg/m³. As for the density of states at the Fermi level: 8.646 states/eV/cell. As for the space group: Pm-3m, No. 221.

Structure (POSCAR):
```
BaPb3S
1.0
6.3566 0.0000 0.0000
0.0000 6.3566 0.0000
0.0000 0.0000 6.3566
Ba Pb S
1 3 1
direct
0.0000 0.0000 0.0000
0.5000 0.0000 0.0000
0.0000 0.5000 0.0000
0.0000 0.0000 0.5000
0.5000 0.5000 0.5000
```

Which one sits at the top of the stability order? version w does.

Version w
First-principles (PBE) data for a relaxed structure of Ba3PbS4, as listed in the Alexandria database.

Values from the calculation:
The value obtained for the mass density is 3.995 Mg/m³. As for the density of states at the Fermi level: 0.000 states/eV/cell. As for the space group: Pmn2_1, No. 31.

Structure (POSCAR):
```
Ba3PbS4
1.0
6.3706 0.0000 0.0000
0.0000 9.1659 0.0000
0.0000 0.0000 10.6402
S Pb Ba
8 2 6
direct
0.5610 0.1493 0.5000
0.1059 0.8249 0.5000
0.5612 0.6717 0.2537
0.0612 0.3283 0.7537
0.0612 0.3283 0.2463
0.0610 0.8507 0.0000
0.6059 0.1751 0.0000
0.5612 0.6717 0.7463
0.0394 0.1726 0.0000
0.5394 0.8274 0.5000
0.5622 0.3304 0.2511
0.0622 0.6696 0.7511
0.5622 0.3304 0.7489
0.0622 0.1550 0.5000
0.5622 0.8450 0.0000
0.0622 0.6696 0.2489
```

Version x
First-principles (PBE) data for a relaxed structure of Ba3PbS4, as listed in the Alexandria database.

Values from the calculation:
The value obtained for the mass density is 4.859 Mg/m³. As for the density of states at the Fermi level: 0.000 states/eV/cell. As for the space group: Cmm2, No. 35.

Structure (POSCAR):
```
Ba3PbS4
1.0
4.4939 -0.0566 0.0754
0.0573 7.4526 2.1805
-0.1247 0.4371 7.7519
S Ba Pb
4 3 1
direct
0.5001 0.7465 0.2460
0.9993 0.7426 0.7575
0.9992 0.2570 0.2431
0.5001 0.2541 0.7536
0.0000 0.0004 0.9999
0.4995 0.0000 0.5001
0.0000 0.5002 0.4997
0.5014 0.5003 0.9998
```

Which one sits at the top of the stability order? version x does.

Version w
First-principles (PBE) data for a relaxed structure of Ba2PbS, as listed in the Alexandria database.

Values from the calculation:
The value obtained for the mass density is 6.282 Mg/m³. As for the density of states at the Fermi level: 1.077 states/eV/cell. As for the space group: P4/mmm, No. 123.

Structure (POSCAR):
```
Ba2PbS
1.0
3.8767 0.0000 0.0000
0.0000 3.8767 0.0000
0.0000 0.0000 9.0394
Ba S Pb
2 1 1
direct
0.0000 0.0000 0.7907
0.0000 0.0000 0.2093
0.5000 0.5000 0.0000
0.5000 0.5000 0.5000
```

Version x
First-principles (PBE) data for a relaxed structure of Ba2PbS, as listed in the Alexandria database.

Values from the calculation:
The value obtained for the mass density is 4.912 Mg/m³. As for the density of states at the Fermi level: 4.895 states/eV/cell. As for the space group: R-3m, No. 166.

Structure (POSCAR):
```
Ba2PbS
1.0
-2.8234 -1.5755 2.8364
0.5833 -3.9238 1.6621
5.0149 2.4640 9.6215
Ba Pb S
2 1 1
direct
0.1090 0.1090 0.6728
0.8910 0.8910 0.3272
0.0000 0.0000 0.0000
0.5000 0.5000 0.5000
```

Which one sits at the top of the stability order? version w does.